Crystalline Sc2CuPt2 at its relaxed geometry, computed with GGA-PBE.

Cell lengths 7.6548, 7.6548, 3.1596 Å; angles 90.00, 90.00, 90.00 degrees
Closest atoms and distances in Å follow each position.
Space group P4/mbm (No. 127)
One atom of each set of equivalent atoms:
Sc (0.1562, 0.3438, 0.0000)  6 Pt 2.72-2.76, 2 Cu 2.89
Cu (0.0000, 0.0000, 0.0000)  4 Sc 2.89, 2 Cu 3.16
Pt (0.1398, 0.6398, 0.5000)  6 Sc 2.72-2.76, 1 Pt 3.03

- DOS(E_F) (states/eV per cell) = 5.26
- electronic total energy (eV per cell) = -64.56
- total magnetic moment (μB/atom) = 0.000
- calculated formation energy (eV/atom) = -0.69

Crystalline La2PrDySb4 at its relaxed geometry, computed with GGA-PBE.

Cell lengths 7.8760, 4.5549, 7.8810 Å; angles 90.00, 109.50, 90.00 degrees
Closest atoms and distances in Å follow each position.
Space group P2/m (No. 10)
One atom of each set of equivalent atoms:
La (0.0000, 0.0000, 0.0000)  6 Sb 3.23
La (0.0000, 0.5000, 0.5000)  6 Sb 3.28
Pr (0.5000, 0.0000, 0.5000)  6 Sb 3.21
Dy (0.5000, 0.5000, 0.0000)  6 Sb 3.16
Sb (0.2562, 0.5000, 0.2471)  1 Dy 3.16, 2 Pr 3.21, 3 La 3.23-3.28
Sb (0.2597, 0.0000, 0.7581)  2 Dy 3.16, 1 Pr 3.21, 3 La 3.23-3.28

- formation energy without anion corrections (eV per atom) = -1.213
- DOS(E_F) (states/eV per cell) = 0.95
- electronic total energy (eV per cell) = -45.43
- total magnetic moment (μB/atom) = 0.000

Crystalline MgGe2Pb2 at its relaxed geometry, computed with GGA-PBE.

Cell lengths 3.7345, 3.7345, 18.5821 Å; angles 90.00, 90.00, 90.00 degrees
Closest atoms and distances in Å follow each position.
Space group I4/mmm (No. 139)
One atom of each set of equivalent atoms:
Mg (0.0000, 0.0000, 0.0000)  8 Pb 3.27
Ge (0.0000, 0.5000, 0.2500)  4 Ge 2.64
Pb (0.0000, 0.0000, 0.3959)  4 Mg 3.27, 4 Ge 3.29

- DOS(E_F) (states/eV per cell) = 6.17
- electronic total energy (eV per cell) = -35.01
- total magnetic moment (μB/atom) = 0.000
- calculated formation energy (eV/atom) = 0.15